## AcNdTe2 (PBE)

Data for an optimized crystal structure of AcNdTe2.

Summary:
relative energy among the computed polymorphs: 13.3 meV/atom
DOS(E_F): 1.5 states/eV per cell
total moment: 0.0 μB per formula unit
uncorrected energy: -5.22 eV per atom

POSCAR file:
```
AcNdTe2
1.0
-1.455 -2.831 -3.132
0.327 -4.406 0.647
-7.732 -2.451 2.624
Ac Nd Te
1 1 2
Direct
0.671 0.671 0.987
0.496 0.496 0.513
0.087 0.087 0.738
0.246 0.246 0.262
```